First-principles (PBE-GGA) data for a relaxed K2Ag2PtO6 crystal, as listed in Alexandria via LeMat-Bulk.

```
K2Ag2PtO6
1.0
6.194 0.000 0.000
3.097 5.364 0.000
3.097 1.788 5.718
K Ag Pt O
2 2 1 6
Direct
0.796 0.796 0.611
0.204 0.204 0.389
0.391 0.391 0.826
0.609 0.609 0.174
0.000 0.000 0.000
0.785 0.785 0.214
0.216 0.785 0.214
0.785 0.216 0.214
0.215 0.784 0.786
0.784 0.215 0.786
0.215 0.215 0.786
```

Calculated values
* formation energy (no corrections): -516 kJ/mol of formula units
* calculated volume: 17.3 Å³ per atom
* total magnetic moment: 0.000 μB per formula unit